(i)
DFT (SCAN) results for a crystal of ZnRe2Te relaxed with PBEsol.

Computed properties:
**Space-group type**: I-4m2, No. 119

abc: 4.8219 4.8219 4.8219
angles: 130.28 130.28 72.96
Sites, in units of the cell vectors:
Zn: 0.0000 0.0000 0.0000
Re: 0.5000 0.5000 0.0000
Re: 0.7500 0.2500 0.5000
Te: 0.2500 0.7500 0.5000



(ii)
DFT (SCAN) results for a crystal of ZnRe2Te relaxed with PBEsol.

Computed properties:
**Space-group type**: P4/mmm, No. 123

abc: 3.1859 3.1859 6.1244
angles: 90.00 90.00 90.00
Sites, in units of the cell vectors:
Zn: 0.0000 0.0000 0.0000
Re: 0.5000 0.5000 0.2250
Re: 0.5000 0.5000 0.7750
Te: 0.0000 0.0000 0.5000



Least stable: (i)



(i)
DFT (SCAN) results for a crystal of ZnRe2Te relaxed with PBEsol.

Computed properties:
**Space-group type**: Cmm2, No. 35

abc: 2.8402 2.8402 9.8510
angles: 90.00 90.00 117.25
Sites, in units of the cell vectors:
Zn: 0.0000 0.0000 0.0000
Re: 0.0000 0.0000 0.4354
Re: 0.5000 0.5000 0.2247
Te: 0.5000 0.5000 0.6954



(ii)
DFT (SCAN) results for a crystal of ZnRe2Te relaxed with PBEsol.

Computed properties:
**Space-group type**: Imm2, No. 44

abc: 6.0766 6.0766 6.0766
angles: 151.55 139.41 50.31
Sites, in units of the cell vectors:
Zn: 0.0000 0.0000 0.0000
Re: 0.3351 0.8351 0.5000
Re: 0.5279 0.5279 0.0000
Te: 0.7386 0.2386 0.5000



(iii)
DFT (SCAN) results for a crystal of ZnRe2Te relaxed with PBEsol.

Computed properties:
**Space-group type**: P4mm, No. 99

abc: 2.9771 2.9771 8.1993
angles: 90.00 90.00 90.00
Sites, in units of the cell vectors:
Zn: 0.0000 0.0000 0.0000
Re: 0.0000 0.0000 0.3916
Re: 0.5000 0.5000 0.1992
Te: 0.5000 0.5000 0.6306



Least stable: (i)



(i)
DFT (SCAN) results for a crystal of YTlRe2 relaxed with PBEsol.

Computed properties:
**Space-group type**: I4/mmm, No. 139

abc: 5.4108 5.4108 5.4108
angles: 136.25 136.25 63.60
Sites, in units of the cell vectors:
Y: 0.0000 0.0000 0.0000
Tl: 0.5000 0.5000 0.0000
Re: 0.2500 0.7500 0.5000
Re: 0.7500 0.2500 0.5000



(ii)
DFT (SCAN) results for a crystal of YTlRe2 relaxed with PBEsol.

Computed properties:
**Space-group type**: R3m, No. 160

abc: 9.8680 9.8680 9.8680
angles: 17.44 17.44 17.44
Sites, in units of the cell vectors:
Y: 0.0000 0.0000 0.0000
Tl: 0.2371 0.2371 0.2371
Re: 0.4860 0.4860 0.4860
Re: 0.7524 0.7524 0.7524



Least stable: (i)